Material: Nd7YTm3
Method: DFT, GGA-PBE
State: optimized geometry

Crystal system: monoclinic
ΔE_f, eV/atom: 0.227

Structure (CIF):
```
data_Nd7YTm3
_space_group_name_H-M_alt 'C 1 2/m 1'
_space_group_IT_number 12
_space_group_name_Hall '-C 2y'
_cell_length_a 12.7888
_cell_length_b 11.3923
_cell_length_c 5.8965
_cell_angle_alpha 90.00
_cell_angle_beta 117.36
_cell_angle_gamma 90.00
loop_
_atom_site_label
_atom_site_type_symbol
_atom_site_fract_x
_atom_site_fract_y
_atom_site_fract_z
Nd1 Nd 0.0000 0.0000 0.0000
Nd2 Nd 0.1930 0.2901 0.6928
Nd3 Nd 0.2069 0.5000 0.2053
Y1 Y 0.0000 0.0000 0.5000
Tm1 Tm 0.0000 0.2953 0.0000
Tm2 Tm 0.0000 0.5000 0.5000
```